# 1
A geometry-optimized AlHgS structure, computed with PBE-GGA.

Summary:
- Space group: P3m1 (156)

Cell: 3.596 3.596 5.963 Å, 90.00 90.00 120.00°
Fractional positions:
Al 0.333 0.667 0.623
S 0.667 0.333 0.431
Hg 0.000 0.000 0.946

# 2
A geometry-optimized AlHg3S4 structure, computed with PBE-GGA.

Summary:
- Space group: I-42m (121)

Cell: 6.069 6.069 7.077 Å, 115.39 115.39 90.00°
Fractional positions:
S 0.335 0.335 0.234
S 0.665 0.101 0.766
Al 0.000 0.000 0.000
Hg 0.750 0.250 0.500
Hg 0.500 0.500 0.000
Hg 0.250 0.750 0.500
S 0.101 0.665 0.766
S 0.899 0.899 0.234

# 3
A geometry-optimized Al3HgS structure, computed with PBE-GGA.

Summary:
- Space group: Pm-3m (221)

Cell: 4.757 4.757 4.757 Å, 90.00 90.00 90.00°
Fractional positions:
Al 0.500 0.000 0.000
S 0.000 0.000 0.000
Al 0.000 0.000 0.500
Al 0.000 0.500 0.000
Hg 0.500 0.500 0.500

# 4
A geometry-optimized AlHg3S4 structure, computed with PBE-GGA.

Summary:
- Space group: P-43m (215)

Cell: 5.921 5.921 5.921 Å, 90.00 90.00 90.00°
Fractional positions:
Hg 0.000 0.500 0.500
S 0.776 0.776 0.224
S 0.776 0.224 0.776
S 0.224 0.776 0.776
S 0.224 0.224 0.224
Hg 0.500 0.500 0.000
Hg 0.500 0.000 0.500
Al 0.000 0.000 0.000

Total magnetic moment per entry: 0.000, 0.000, 0.000, 0.000 μB/f.u.
Ρ per entry: 6.5, 6.1, 4.8, 6.1 Mg/m³
Raw formation energy per entry: -1.292, -2.678, 1.824, -2.531 eV/f.u.